Record 1
Tb4SmSc3, relaxed, DFT PBE; excess energy over the best structure of this formula in the dataset = 0.0 meV/atom; crystal system = orthorhombic; symmetry = Pmn2_1, No. 31; M_tot = 0.000 μB/atom
1.0
6.0846 0.0000 0.0000
0.0000 7.0672 0.0000
0.0000 0.0000 10.9815
Tb Sc Sm
8 6 2
direct
0.6465 0.1314 0.0000
0.9852 0.1317 0.2548
0.1380 0.8673 0.0000
0.9852 0.1317 0.7452
0.4852 0.8683 0.7548
0.6380 0.1327 0.5000
0.4852 0.8683 0.2452
0.1465 0.8686 0.5000
0.1512 0.3802 0.5000
0.9793 0.6185 0.2511
0.6512 0.6198 0.0000
0.9793 0.6185 0.7489
0.4793 0.3815 0.2489
0.4793 0.3815 0.7511
0.1508 0.3821 0.0000
0.6508 0.6179 0.5000

Record 2
Tb4Sm10Sc, relaxed, DFT PBE; crystal system = tetragonal; symmetry = I4/m, No. 87; M_tot = 0.000 μB/atom
1.0
0.8315 7.7165 -7.0122
-6.2100 5.5647 -2.4139
2.3655 8.2133 1.5176
Sm Tb Sc
10 4 1
direct
0.4503 0.0971 0.3241
0.7500 0.5000 0.5000
0.5497 0.9029 0.6759
0.7744 0.6759 0.0971
0.5474 0.3241 0.9029
0.4526 0.6759 0.0971
0.1285 0.0971 0.3241
0.2256 0.3241 0.9029
0.2500 0.5000 0.5000
0.8715 0.9029 0.6759
0.9407 0.3835 0.7351
0.6758 0.2649 0.3835
0.0593 0.6165 0.2649
0.3242 0.7351 0.6165
0.0000 0.0000 0.0000

Record 3
Tb2SmSc4, relaxed, DFT PBE; crystal system = tetragonal; symmetry = I4/mmm, No. 139; M_tot = 0.363 μB/atom
1.0
8.0701 0.0064 -0.0038
-0.0044 8.0701 0.0032
-4.0320 -4.0394 3.1421
Sm Tb Sc
1 2 4
direct
0.0000 0.9998 0.9998
0.7499 0.2500 0.5000
0.2500 0.7502 0.5000
0.3077 0.3078 0.0000
0.6922 0.6923 0.0000
0.3073 0.6927 0.0000
0.6929 0.3073 0.0002

Record 4
Tb3Sm4Sc4, relaxed, DFT PBE; crystal system = orthorhombic; symmetry = Amm2, No. 38; M_tot = 0.000 μB/atom
1.0
5.5079 0.0000 0.0000
-2.7539 5.8861 0.0000
0.0000 0.0000 10.2855
Sc Tb Sm
4 3 4
direct
0.9461 0.8922 0.0000
0.8964 0.7929 0.5000
0.7642 0.5284 0.7876
0.7642 0.5284 0.2124
0.3955 0.7909 0.3098
0.3955 0.7909 0.6902
0.2573 0.5147 0.0000
0.6370 0.2741 0.5000
0.5535 0.1071 0.0000
0.0943 0.1887 0.7212
0.0943 0.1887 0.2788

Record 5
Tb2Sm2Sc, relaxed, DFT PBE; excess energy over the best structure of this formula in the dataset = 0.0 meV/atom; crystal system = orthorhombic; symmetry = Imma, No. 74; M_tot = 0.000 μB/atom
1.0
-0.6645 -5.6027 0.1459
2.6649 -0.2560 2.3046
-11.2165 4.4532 10.7574
Sm Tb Sc
4 4 2
direct
0.0619 0.8119 0.1238
0.4563 0.7063 0.9126
0.9381 0.1881 0.8762
0.5437 0.2937 0.0874
0.3664 0.1164 0.7327
0.7302 0.9802 0.4605
0.2698 0.0198 0.5395
0.6336 0.8836 0.2673
0.1750 0.4250 0.3500
0.8250 0.5750 0.6500

Record 6
Tb8Sm6Sc, relaxed, DFT PBE; excess energy over the best structure of this formula in the dataset = 0.0 meV/atom; crystal system = trigonal; symmetry = R-3, No. 148; M_tot = 0.000 μB/atom
1.0
-3.7507 -5.7652 5.2425
5.2466 -5.5826 4.0120
1.1379 1.1654 8.4933
Tb Sm Sc
8 6 1
direct
0.7208 0.7494 0.1112
0.8888 0.2792 0.2506
0.2506 0.8888 0.2792
0.7494 0.1112 0.7208
0.5772 0.5772 0.5772
0.2792 0.2506 0.8888
0.4228 0.4228 0.4228
0.1112 0.7208 0.7494
0.2287 0.1039 0.5422
0.4578 0.7713 0.8961
0.7713 0.8961 0.4578
0.1039 0.5422 0.2287
0.5422 0.2287 0.1039
0.8961 0.4578 0.7713
0.0000 0.0000 0.0000

no.,ΔE_f (eV per atom)
1,0.04
2,0.35
3,0.24
4,0.14
5,0.19
6,0.12